DFT (PBE) results for a relaxed K2In3AgAu12 crystal.

abc: 8.5296 8.5296 8.5296
angles: 65.80 65.80 65.80
Closest atoms and distances in Å follow each position.
Atoms (fractional coordinates):
Ag  0.0000  0.0000  0.0000  6 Au 2.69
Au  0.1402  0.1402  0.6459  1 Ag 2.69, 4 Au 2.75-2.82, 1 In 2.83
Au  0.1402  0.6459  0.1402  1 Ag 2.69, 4 Au 2.75-2.82, 1 In 2.83
Au  0.6415  0.9933  0.6415  2 Au 2.75, 2 In 2.81
Au  0.0067  0.3585  0.3585  2 Au 2.75, 2 In 2.81
In  0.0000  0.5000  0.0000  6 Au 2.81-2.83
K  0.4070  0.4070  0.4070  6 Au 3.34-3.49, 1 K 3.71
In  0.0000  0.0000  0.5000  6 Au 2.81-2.83
Au  0.3585  0.0067  0.3585  2 Au 2.75, 2 In 2.81
Au  0.8598  0.8598  0.3541  1 Ag 2.69, 4 Au 2.75-2.82, 1 In 2.83
Au  0.6459  0.1402  0.1402  1 Ag 2.69, 4 Au 2.75-2.82, 1 In 2.83
K  0.5930  0.5930  0.5930  6 Au 3.34-3.49, 1 K 3.71
Au  0.8598  0.3541  0.8598  1 Ag 2.69, 4 Au 2.75-2.82, 1 In 2.83
Au  0.9933  0.6415  0.6415  2 Au 2.75, 2 In 2.81
Au  0.3585  0.3585  0.0067  2 Au 2.75, 2 In 2.81
Au  0.6415  0.6415  0.9933  2 Au 2.75, 2 In 2.81
In  0.5000  0.0000  0.0000  6 Au 2.81-2.83
Au  0.3541  0.8598  0.8598  1 Ag 2.69, 4 Au 2.75-2.82, 1 In 2.83

Calculated values
Its total DFT energy (no corrections) is -2.92 eV/atom. Its space group is R-3m, No. 166. Its formation energy is 0.00 eV per atom. For the magnetization, the calculation gives 0.00 μB per atom.